Entry w
A relaxed structure of PuCuTc, computed with PBE-GGA.

a b c (Å): 4.2858 4.2858 4.2858
angles (deg): 60.00 60.00 60.00
Last column: nearest neighbours and their distance in Å.
Atoms (fractional coordinates):
Pu1 0.0000 0.0000 0.0000  4 Tc 2.62, 4 Cu 2.62
Cu1 0.7500 0.7500 0.7500  4 Pu 2.62
Tc1 0.2500 0.2500 0.2500  4 Pu 2.62

Values from the calculation:
SG   F-43m, No. 216

Entry x
A relaxed structure of PuCuTc, computed with PBE-GGA.

a b c (Å): 4.2426 4.2426 4.2426
angles (deg): 60.00 60.00 60.00
Last column: nearest neighbours and their distance in Å.
Atoms (fractional coordinates):
Pu1 0.0000 0.0000 0.0000  4 Cu 2.60
Cu1 0.2500 0.2500 0.2500  4 Tc 2.60, 4 Pu 2.60
Tc1 0.5000 0.5000 0.5000  4 Cu 2.60

Values from the calculation:
SG   F-43m, No. 216

Q: Which of them is the most stable? A: entry x.

Entry w
A relaxed structure of PuCuW, computed with PBE-GGA.

a b c (Å): 4.3336 4.3336 4.3336
angles (deg): 60.00 60.00 60.00
Last column: nearest neighbours and their distance in Å.
Atoms (fractional coordinates):
Pu1 0.0000 0.0000 0.0000  4 Cu 2.65, 4 W 2.65
Cu1 0.7500 0.7500 0.7500  4 Pu 2.65
W1 0.2500 0.2500 0.2500  4 Pu 2.65

Values from the calculation:
SG   F-43m, No. 216

Entry x
A relaxed structure of PuCuW, computed with PBE-GGA.

a b c (Å): 4.2910 4.2910 4.2910
angles (deg): 60.00 60.00 60.00
Last column: nearest neighbours and their distance in Å.
Atoms (fractional coordinates):
Pu1 0.0000 0.0000 0.0000  4 Cu 2.63
Cu1 0.2500 0.2500 0.2500  4 W 2.63, 4 Pu 2.63
W1 0.5000 0.5000 0.5000  4 Cu 2.63

Values from the calculation:
SG   F-43m, No. 216

Q: Which of them is the most stable? A: entry x.

Entry w
A relaxed structure of Rb2Cu, computed with PBE-GGA.

a b c (Å): 7.5427 7.5427 7.5427
angles (deg): 60.00 60.00 60.00
Last column: nearest neighbours and their distance in Å.
Atoms (fractional coordinates):
Rb1 0.0000 0.0000 0.0000  6 Rb 3.77
Rb2 0.0000 0.0000 0.5000  6 Rb 3.77
Rb3 0.0000 0.5000 0.0000  6 Rb 3.77
Rb4 0.5000 0.0000 0.0000  6 Rb 3.77
Cu1 0.3750 0.3750 0.3750  12 Rb 4.42, 4 Cu 4.62
Cu2 0.6250 0.6250 0.6250  12 Rb 4.42, 4 Cu 4.62

Values from the calculation:
SG   Fd-3m, No. 227

Entry x
A relaxed structure of Rb2Cu, computed with PBE-GGA.

a b c (Å): 10.4437 10.4437 10.4437
angles (deg): 60.00 60.00 60.00
Last column: nearest neighbours and their distance in Å.
Atoms (fractional coordinates):
Rb1 0.0000 0.0000 0.0000  2 Cu 3.20
Rb2 0.0000 0.0000 0.5000  2 Cu 3.20
Rb3 0.0000 0.5000 0.0000  2 Cu 3.20
Rb4 0.5000 0.0000 0.0000  2 Cu 3.20
Cu1 0.1250 0.1250 0.1250  4 Rb 3.20
Cu2 0.8750 0.8750 0.8750  4 Rb 3.20

Values from the calculation:
SG   Fd-3m, No. 227

Entry y
A relaxed structure of Rb2Cu, computed with PBE-GGA.

a b c (Å): 5.9292 5.9292 5.9292
angles (deg): 60.00 60.00 60.00
Last column: nearest neighbours and their distance in Å.
Atoms (fractional coordinates):
Rb1 0.2500 0.2500 0.2500  4 Cu 3.63
Rb2 0.7500 0.7500 0.7500  4 Cu 3.63
Cu1 0.0000 0.0000 0.0000  8 Rb 3.63

Values from the calculation:
SG   Fm-3m, No. 225

Q: Which of them is the most stable? A: entry y.

Entry w
A relaxed structure of RbCuTcS3, computed with PBE-GGA.

a b c (Å): 14.4368 3.6917 9.6720
angles (deg): 90.00 90.00 90.00
Last column: nearest neighbours and their distance in Å.
Atoms (fractional coordinates):
Rb1 0.2425 0.2500 0.0573  7 S 3.29-3.43
Rb2 0.2575 0.7500 0.5573  7 S 3.29-3.43
Rb3 0.7425 0.2500 0.4427  7 S 3.29-3.43
Rb4 0.7575 0.7500 0.9427  7 S 3.29-3.43
Cu1 0.0137 0.7500 0.0986  4 S 2.24-2.39
Cu2 0.4863 0.2500 0.5986  4 S 2.24-2.39
Cu3 0.5137 0.7500 0.4014  4 S 2.24-2.39
Cu4 0.9863 0.2500 0.9014  4 S 2.24-2.39
Tc1 0.0101 0.2500 0.3248  6 S 2.38-2.48
Tc2 0.4899 0.7500 0.8248  6 S 2.38-2.48
Tc3 0.5101 0.2500 0.1752  6 S 2.38-2.48
Tc4 0.9899 0.7500 0.6752  6 S 2.38-2.48
S1 0.0688 0.2500 0.5654  3 Tc 2.42-2.48
S2 0.0854 0.7500 0.8754  3 Cu 2.35-2.39, 1 Tc 2.38
S3 0.1163 0.7500 0.2726  1 Cu 2.24, 2 Tc 2.45
S4 0.3837 0.2500 0.7726  1 Cu 2.24, 2 Tc 2.45
S5 0.4146 0.2500 0.3754  3 Cu 2.35-2.39, 1 Tc 2.38
S6 0.4312 0.7500 0.0654  3 Tc 2.42-2.48
S7 0.5688 0.2500 0.9346  3 Tc 2.42-2.48
S8 0.5854 0.7500 0.6246  3 Cu 2.35-2.39, 1 Tc 2.38
S9 0.6163 0.7500 0.2274  1 Cu 2.24, 2 Tc 2.45
S10 0.8837 0.2500 0.7274  1 Cu 2.24, 2 Tc 2.45
S11 0.9146 0.2500 0.1246  3 Cu 2.35-2.39, 1 Tc 2.38
S12 0.9312 0.7500 0.4346  3 Tc 2.42-2.48

Values from the calculation:
SG   Pnma, No. 62

Entry x
A relaxed structure of RbCuTcS3, computed with PBE-GGA.

a b c (Å): 7.6626 7.6626 9.4686
angles (deg): 90.00 90.00 152.64
Last column: nearest neighbours and their distance in Å.
Atoms (fractional coordinates):
Rb1 0.2476 0.7524 0.7500  8 S 3.33-3.45, 2 Rb 3.62, 2 Cu 3.72
Rb2 0.7524 0.2476 0.2500  8 S 3.33-3.45, 2 Rb 3.62, 2 Cu 3.72
Cu1 0.0340 0.9660 0.2500  4 S 2.26-2.29
Cu2 0.9660 0.0340 0.7500  4 S 2.26-2.29
Tc1 0.5000 0.5000 0.0000  6 S 2.48-2.53
Tc2 0.5000 0.5000 0.5000  6 S 2.48-2.53
S1 0.1099 0.8901 0.0431  1 Cu 2.26, 2 Tc 2.48
S2 0.1099 0.8901 0.4569  1 Cu 2.26, 2 Tc 2.48
S3 0.4397 0.5603 0.2500  2 Cu 2.29, 2 Tc 2.53
S4 0.5603 0.4397 0.7500  2 Cu 2.29, 2 Tc 2.53
S5 0.8901 0.1099 0.5431  1 Cu 2.26, 2 Tc 2.48
S6 0.8901 0.1099 0.9569  1 Cu 2.26, 2 Tc 2.48

Values from the calculation:
SG   Cmcm, No. 63

Q: Which of them is the most stable? A: entry w.